i) DFT (GGA-PBE) results for crystalline PrErTm6 at its relaxed geometry.

```
PrErTm6
1.0
-5.1806 -0.4537 -4.2082
6.0376 -2.1017 -1.9707
-2.2384 -3.2198 8.8512
Er Tm Pr
1 6 1
Direct
0.0000 0.0000 0.0000 Er
0.6688 0.1584 0.2387 Tm
0.3068 0.3068 0.7536 Tm
0.1584 0.6688 0.2387 Tm
0.3312 0.8416 0.7613 Tm
0.8416 0.3312 0.7613 Tm
0.6932 0.6932 0.2464 Tm
0.5000 0.5000 0.5000 Pr
```

Values from the calculation:
symmetry	C2/m, No. 12
M_tot	0.00	μB/atom


ii) DFT (GGA-PBE) results for crystalline PrErTm6 at its relaxed geometry.

```
PrErTm6
1.0
-2.0997 -4.3014 -1.3109
3.3780 0.2311 -6.1689
5.4082 -3.5023 2.8293
Tm Er Pr
6 1 1
Direct
0.0000 0.2477 0.2477 Tm
0.0000 0.7524 0.2476 Tm
0.5000 0.0000 0.5000 Tm
0.5000 0.5000 0.0000 Tm
0.0000 0.2476 0.7524 Tm
0.0000 0.7523 0.7523 Tm
0.5000 0.0000 0.0000 Er
0.5000 0.5000 0.5000 Pr
```

Values from the calculation:
symmetry	P4/mmm, No. 123
M_tot	0.00	μB/atom


If we sort the structures by their calculated energies, the order from most to least stable is ii), i).


i) DFT (GGA-PBE) results for crystalline Pr3Er3Tm at its relaxed geometry.

```
Pr3Er3Tm
1.0
-0.4838 -3.6930 4.4087
9.4824 0.6346 1.5723
-6.0334 6.0700 4.4224
Er Tm Pr
6 2 6
Direct
0.2500 0.5190 0.6150 Er
0.2500 0.3850 0.9043 Er
0.2500 0.0958 0.4810 Er
0.7500 0.4810 0.3850 Er
0.7500 0.9042 0.5190 Er
0.7500 0.6150 0.0957 Er
0.2500 0.6666 0.3332 Tm
0.7500 0.3334 0.6668 Tm
0.2500 0.9494 0.7544 Pr
0.2500 0.8052 0.0504 Pr
0.7500 0.0506 0.2456 Pr
0.7500 0.7547 0.8049 Pr
0.2500 0.2453 0.1951 Pr
0.7500 0.1948 0.9496 Pr
```

Values from the calculation:
symmetry	P6_3/m, No. 176
M_tot	0.00	μB/atom


ii) DFT (GGA-PBE) results for crystalline Pr3Er3Tm at its relaxed geometry.

```
Pr3Er3Tm
1.0
-3.9778 -4.0302 6.7774
-1.1643 -8.7545 0.0353
4.5556 -5.1702 5.5239
Tm Er Pr
2 6 6
Direct
0.6513 0.6513 0.6513 Tm
0.3487 0.3487 0.3487 Tm
0.2711 0.4297 0.9399 Er
0.0601 0.7289 0.5703 Er
0.4297 0.9399 0.2711 Er
0.5703 0.0601 0.7289 Er
0.9399 0.2711 0.4297 Er
0.7289 0.5703 0.0601 Er
0.8145 0.0654 0.2971 Pr
0.0654 0.2971 0.8145 Pr
0.7029 0.1855 0.9346 Pr
0.2971 0.8145 0.0654 Pr
0.1855 0.9346 0.7029 Pr
0.9346 0.7029 0.1855 Pr
```

Values from the calculation:
symmetry	R-3, No. 148
M_tot	0.00	μB/atom


If we sort the structures by their calculated energies, the order from most to least stable is i), ii).


i) DFT (GGA-PBE) results for crystalline Pr6Er2Tm3 at its relaxed geometry.

```
Pr6Er2Tm3
1.0
-3.2953 -3.3999 0.3261
1.7356 -2.0572 -3.9090
11.3863 -6.6274 11.4244
Er Tm Pr
2 3 6
Direct
0.4554 0.4554 0.9109 Er
0.5446 0.5446 0.0891 Er
0.0000 0.0000 0.0000 Tm
0.8080 0.8080 0.6160 Tm
0.1920 0.1920 0.3840 Tm
0.7080 0.7080 0.4160 Pr
0.2920 0.2920 0.5840 Pr
0.6192 0.1192 0.2383 Pr
0.3808 0.8808 0.7617 Pr
0.1192 0.6192 0.2383 Pr
0.8808 0.3808 0.7617 Pr
```

Values from the calculation:
symmetry	I4/mmm, No. 139
M_tot	0.00	μB/atom


ii) DFT (GGA-PBE) results for crystalline Pr6Er2Tm3 at its relaxed geometry.

```
Pr6Er2Tm3
1.0
-4.3998 -3.7510 -3.7366
3.9036 -2.8427 4.6273
-10.5196 -1.7465 3.2925
Tm Pr Er
3 6 2
Direct
0.7671 0.0006 0.3657 Tm
0.2329 0.9994 0.6343 Tm
0.0000 0.0000 0.0000 Tm
0.7947 0.5892 0.5011 Pr
0.1238 0.4476 0.8289 Pr
0.2053 0.4108 0.4989 Pr
0.4072 0.9953 0.2160 Pr
0.8762 0.5524 0.1711 Pr
0.5928 0.0047 0.7840 Pr
0.6711 0.5562 0.8317 Er
0.3289 0.4438 0.1683 Er
```

Values from the calculation:
symmetry	P-1, No. 2
M_tot	0.00	μB/atom


If we sort the structures by their calculated energies, the order from most to least stable is ii), i).


i) DFT (GGA-PBE) results for crystalline Pr2ErTm7 at its relaxed geometry.

```
Pr2ErTm7
1.0
3.4314 0.0000 0.0000
0.0000 11.0918 -0.6109
0.0000 -5.5493 9.6233
Tm Pr Er
7 2 1
Direct
0.5000 0.6847 0.8562 Tm
0.5000 0.1438 0.3153 Tm
0.5000 0.3153 0.1438 Tm
0.0000 0.8307 0.1693 Tm
0.0000 0.1693 0.8307 Tm
0.5000 0.8562 0.6847 Tm
0.5000 0.5000 0.5000 Tm
0.5000 0.6816 0.3184 Pr
0.5000 0.3184 0.6816 Pr
0.0000 0.0000 0.0000 Er
```

Values from the calculation:
symmetry	Cmmm, No. 65
M_tot	0.00	μB/atom


ii) DFT (GGA-PBE) results for crystalline Pr2ErTm7 at its relaxed geometry.

```
Pr2ErTm7
1.0
6.4714 4.1708 -1.7491
7.4600 9.8952 -5.7580
-4.0113 -2.7117 10.6495
Tm Pr Er
7 2 1
Direct
0.8034 0.7952 0.1967 Tm
0.8954 0.9029 0.6013 Tm
0.5000 0.5000 0.0000 Tm
0.1966 0.2048 0.8033 Tm
0.1046 0.0971 0.3987 Tm
0.3035 0.2978 0.1982 Tm
0.6965 0.7022 0.8018 Tm
0.6026 0.5961 0.3966 Pr
0.3974 0.4039 0.6034 Pr
0.0000 0.0000 0.0000 Er
```

Values from the calculation:
symmetry	P-1, No. 2
M_tot	0.00	μB/atom


If we sort the structures by their calculated energies, the order from most to least stable is ii), i).


i) DFT (GGA-PBE) results for crystalline Pr3Er3Tm2 at its relaxed geometry.

```
Pr3Er3Tm2
1.0
-1.5386 4.7533 -0.6922
-1.9160 0.0649 4.7046
10.5917 0.9792 1.5571
Tm Pr Er
2 3 3
Direct
0.2493 0.7493 0.4985 Tm
0.7507 0.2507 0.5015 Tm
0.1258 0.1258 0.2517 Pr
0.8742 0.8742 0.7483 Pr
0.0000 0.5000 0.0000 Pr
0.6274 0.6274 0.2548 Er
0.3726 0.3726 0.7452 Er
0.5000 0.0000 0.0000 Er
```

Values from the calculation:
symmetry	Immm, No. 71
M_tot	0.00	μB/atom


ii) DFT (GGA-PBE) results for crystalline Pr3Er3Tm2 at its relaxed geometry.

```
Pr3Er3Tm2
1.0
5.5932 0.0000 -1.0524
-0.3747 5.6420 -1.9913
-1.2560 -0.3891 8.7135
Pr Er Tm
3 3 2
Direct
0.3638 0.9270 0.7275 Pr
0.6362 0.0730 0.2725 Pr
0.5000 0.5000 0.0000 Pr
0.1337 0.6846 0.2675 Er
0.0000 0.0000 0.0000 Er
0.8663 0.3154 0.7325 Er
0.7501 0.6815 0.5001 Tm
0.2499 0.3185 0.4999 Tm
```

Values from the calculation:
symmetry	C2/m, No. 12
M_tot	0.00	μB/atom


If we sort the structures by their calculated energies, the order from most to least stable is i), ii).


i) DFT (GGA-PBE) results for crystalline Pr7Er4Tm at its relaxed geometry.

```
Pr7Er4Tm
1.0
-4.7198 -5.5433 0.5804
-5.9838 -3.8350 6.5655
-6.8819 5.7601 -0.8652
Pr Er Tm
7 4 1
Direct
0.7789 0.2210 0.3344 Pr
0.9690 0.2813 0.6648 Pr
0.2481 0.4990 0.9970 Pr
0.2211 0.7790 0.6656 Pr
0.5000 0.0000 0.0000 Pr
0.0310 0.7187 0.3352 Pr
0.7519 0.5010 0.0030 Pr
0.5297 0.7237 0.3322 Er
0.4703 0.2763 0.6678 Er
0.2804 0.2194 0.3362 Er
0.7196 0.7806 0.6638 Er
0.0000 0.0000 0.0000 Tm
```

Values from the calculation:
symmetry	P-1, No. 2
M_tot	0.00	μB/atom


ii) DFT (GGA-PBE) results for crystalline Pr7Er4Tm at its relaxed geometry.

```
Pr7Er4Tm
1.0
6.0340 0.0000 0.0000
3.0170 9.1270 1.8594
3.0170 1.8330 7.8965
Pr Er Tm
7 4 1
Direct
0.7905 0.8842 0.5348 Pr
0.0855 0.5526 0.2765 Pr
0.7874 0.2380 0.1872 Pr
0.2095 0.1158 0.4652 Pr
0.9145 0.4474 0.7235 Pr
0.2126 0.7620 0.8128 Pr
0.5000 0.0000 0.0000 Pr
0.5696 0.3025 0.5584 Er
0.3296 0.3825 0.9583 Er
0.4304 0.6975 0.4416 Er
0.6704 0.6175 0.0417 Er
0.0000 0.0000 0.0000 Tm
```

Values from the calculation:
symmetry	C2/m, No. 12
M_tot	0.00	μB/atom


If we sort the structures by their calculated energies, the order from most to least stable is i), ii).


i) DFT (GGA-PBE) results for crystalline PrEr4Tm at its relaxed geometry.

```
PrEr4Tm
1.0
3.4159 0.2354 0.0008
-0.4024 5.7780 0.0008
-0.0014 -0.0015 9.8418
Pr Er Tm
1 4 1
Direct
0.9973 0.0013 0.5019 Pr
0.9973 0.5013 0.3091 Er
0.4973 0.0013 0.8182 Er
0.9973 0.5013 0.6947 Er
0.4973 0.0013 0.1855 Er
0.4973 0.5013 0.0019 Tm
```

Values from the calculation:
symmetry	Pmmm, No. 47
M_tot	0.00	μB/atom


ii) DFT (GGA-PBE) results for crystalline PrEr4Tm at its relaxed geometry.

```
PrEr4Tm
1.0
6.5496 0.0000 0.0000
3.2748 5.6721 0.0000
3.2748 1.8907 5.3477
Tm Er Pr
1 4 1
Direct
0.0000 0.0000 0.0000 Tm
0.6254 0.1238 0.6254 Er
0.6254 0.6254 0.6254 Er
0.6254 0.6254 0.1238 Er
0.1238 0.6254 0.6254 Er
0.2500 0.2500 0.2500 Pr
```

Values from the calculation:
symmetry	F-43m, No. 216
M_tot	0.19	μB/atom


iii) DFT (GGA-PBE) results for crystalline PrEr4Tm at its relaxed geometry.

```
PrEr4Tm
1.0
-2.5850 1.7973 5.1698
-0.1500 -5.3367 1.7803
11.4746 3.0279 1.1413
Er Pr Tm
8 2 2
Direct
0.5921 0.6698 0.8398 Er
0.7523 0.8302 0.1602 Er
0.2477 0.1698 0.8398 Er
0.6603 0.0933 0.6865 Er
0.3397 0.9067 0.3135 Er
0.4079 0.3302 0.1602 Er
0.9738 0.4067 0.3135 Er
0.0262 0.5933 0.6865 Er
0.5000 0.5000 0.5000 Pr
0.0000 0.0000 0.5000 Pr
0.8275 0.2500 0.0000 Tm
0.1725 0.7500 0.0000 Tm
```

Values from the calculation:
symmetry	Imma, No. 74
M_tot	0.00	μB/atom


If we sort the structures by their calculated energies, the order from most to least stable is iii), i), ii).


i) DFT (GGA-PBE) results for crystalline PrEr3Tm7 at its relaxed geometry.

```
PrEr3Tm7
1.0
-6.9004 1.9103 4.6188
-3.0640 -5.8882 -2.1422
3.8803 0.0032 5.7958
Tm Er Pr
7 3 1
Direct
0.4474 0.3359 0.1679 Tm
0.1169 0.1675 0.8325 Tm
0.4474 0.8321 0.6641 Tm
0.1181 0.6667 0.3333 Tm
0.4474 0.8321 0.1679 Tm
0.1169 0.6650 0.8325 Tm
0.1169 0.1675 0.3350 Tm
0.7854 0.5008 0.0017 Er
0.7854 0.5008 0.4992 Er
0.7854 0.9983 0.4992 Er
0.4477 0.3333 0.6667 Pr
```

Values from the calculation:
symmetry	P3m1, No. 156
M_tot	0.00	μB/atom


ii) DFT (GGA-PBE) results for crystalline PrEr3Tm7 at its relaxed geometry.

```
PrEr3Tm7
1.0
-4.1540 2.8198 -2.1609
-4.5705 -0.0955 8.6688
8.1322 2.7597 1.7931
Er Pr Tm
3 1 7
Direct
0.0000 0.5000 0.0000 Er
0.2748 0.9930 0.7750 Er
0.7252 0.0070 0.2250 Er
0.5000 0.5000 0.5000 Pr
0.6753 0.3569 0.1754 Tm
0.8483 0.7103 0.3483 Tm
0.9322 0.8326 0.9322 Tm
0.3247 0.6431 0.8246 Tm
0.5000 0.0000 0.5000 Tm
0.1517 0.2897 0.6517 Tm
0.0678 0.1674 0.0678 Tm
```

Values from the calculation:
symmetry	P2/m, No. 10
M_tot	0.00	μB/atom


If we sort the structures by their calculated energies, the order from most to least stable is ii), i).


i) DFT (GGA-PBE) results for crystalline Pr7Er3Tm2 at its relaxed geometry.

```
Pr7Er3Tm2
1.0
-5.3137 1.4976 -0.4718
-1.7988 -5.9458 1.3568
-0.2764 2.7738 11.9303
Pr Er Tm
7 3 2
Direct
0.0000 0.0000 0.0000 Pr
0.5000 0.0935 0.1731 Pr
0.0000 0.4434 0.1875 Pr
0.4997 0.2478 0.4554 Pr
0.0000 0.5566 0.8125 Pr
0.5000 0.9065 0.8269 Pr
0.5003 0.7522 0.5446 Pr
0.5000 0.5000 0.0000 Er
0.0000 0.9291 0.3444 Er
0.0000 0.0709 0.6556 Er
0.5000 0.6225 0.2742 Tm
0.5000 0.3775 0.7258 Tm
```

Values from the calculation:
symmetry	P2/m, No. 10
M_tot	0.00	μB/atom


ii) DFT (GGA-PBE) results for crystalline Pr7Er3Tm2 at its relaxed geometry.

```
Pr7Er3Tm2
1.0
-3.2996 -0.9502 -1.1686
-0.5658 -3.6628 4.5758
-7.2821 16.9096 6.8127
Pr Er Tm
7 3 2
Direct
0.0000 0.0000 0.0000 Pr
0.5000 0.9878 0.8137 Pr
0.0000 0.4757 0.1461 Pr
0.0000 0.5243 0.8539 Pr
0.5000 0.7242 0.4657 Pr
0.5000 0.0122 0.1863 Pr
0.5000 0.2758 0.5343 Pr
0.5000 0.5000 0.0000 Er
0.0000 0.1520 0.3674 Er
0.0000 0.8480 0.6326 Er
0.5000 0.4059 0.7013 Tm
0.5000 0.5941 0.2987 Tm
```

Values from the calculation:
symmetry	P2/m, No. 10
M_tot	0.00	μB/atom


If we sort the structures by their calculated energies, the order from most to least stable is ii), i).


i) DFT (GGA-PBE) results for crystalline Pr5Er4Tm2 at its relaxed geometry.

```
Pr5Er4Tm2
1.0
3.5284 0.0000 0.0000
0.0000 9.1387 0.0000
-1.7642 -4.5693 11.8204
Er Tm Pr
4 2 5
Direct
0.0000 0.3155 0.0000 Er
0.5965 0.5965 0.1930 Er
0.0000 0.6845 0.0000 Er
0.4035 0.4035 0.8070 Er
0.2701 0.2701 0.5402 Tm
0.7299 0.7299 0.4598 Tm
0.8532 0.6515 0.7064 Pr
0.1468 0.3485 0.2936 Pr
0.5000 0.0000 0.0000 Pr
0.1468 0.9452 0.2936 Pr
0.8532 0.0548 0.7064 Pr
```

Values from the calculation:
symmetry	Immm, No. 71
M_tot	0.00	μB/atom


ii) DFT (GGA-PBE) results for crystalline Pr5Er4Tm2 at its relaxed geometry.

```
Pr5Er4Tm2
1.0
-2.1846 -2.4907 -1.2832
5.3612 0.6175 -10.3262
6.4552 -5.0513 3.7333
Pr Er Tm
5 4 2
Direct
0.0982 0.5355 0.1964 Pr
0.5000 0.0000 0.0000 Pr
0.8232 0.9286 0.6465 Pr
0.9018 0.4645 0.8036 Pr
0.1768 0.0714 0.3535 Pr
0.9639 0.7387 0.9277 Er
0.3594 0.2056 0.7188 Er
0.0361 0.2613 0.0723 Er
0.6406 0.7944 0.2812 Er
0.2845 0.6491 0.5690 Tm
0.7155 0.3509 0.4310 Tm
```

Values from the calculation:
symmetry	C2/m, No. 12
M_tot	0.00	μB/atom


If we sort the structures by their calculated energies, the order from most to least stable is ii), i).